Entry 1:
Here is AgAsBr2 after structural relaxation from Alexandria via LeMat-Bulk. Energies are from GGA-PBE.

Computed properties:
Energy relative to the elements, uncorrected: 6.487 kcal/mol of atoms
Final energy: -9.72 eV per formula unit
Energy above the most stable polymorph in this dataset: 416 meV per atom

Cell and atoms, written as CIF:
```
data_AgAsBr2
_chemical_formula_sum 'Ag1 As1 Br2'
_space_group_name_H-M_alt 'P 1'
_space_group_IT_number 1
_cell_length_a 9.7453
_cell_length_b 9.7453
_cell_length_c 9.7453
_cell_angle_alpha 20.89
_cell_angle_beta 20.89
_cell_angle_gamma 20.89
loop_
_space_group_symop_operation_xyz
'x,y,z'
loop_
_atom_site_label
_atom_site_type_symbol
_atom_site_fract_x
_atom_site_fract_y
_atom_site_fract_z
As1 As 0.5000 0.5000 0.5000
Br1 Br 0.9107 0.9107 0.9107
Br2 Br 0.0893 0.0893 0.0893
Ag1 Ag 0.0000 0.0000 0.0000
```

***

Entry 2:
Here is PmPaHgPt after structural relaxation from Alexandria via LeMat-Bulk. Energies are from GGA-PBE.

Computed properties:
Final energy: -22.17 eV per formula unit

Cell and atoms, written as CIF:
```
data_PmPaHgPt
_chemical_formula_sum 'Pm1 Pa1 Hg1 Pt1'
_space_group_name_H-M_alt 'P 1'
_space_group_IT_number 1
_cell_length_a 5.1566
_cell_length_b 5.1566
_cell_length_c 5.1566
_cell_angle_alpha 60.00
_cell_angle_beta 60.00
_cell_angle_gamma 60.00
loop_
_space_group_symop_operation_xyz
'x,y,z'
loop_
_atom_site_label
_atom_site_type_symbol
_atom_site_fract_x
_atom_site_fract_y
_atom_site_fract_z
Pa1 Pa 0.5000 0.5000 0.5000
Hg1 Hg 0.2500 0.2500 0.2500
Pt1 Pt 0.7500 0.7500 0.7500
Pm1 Pm 0.0000 0.0000 0.0000
```

***

Entry 3:
Here is NiPb2Br after structural relaxation from Alexandria via LeMat-Bulk. Energies are from GGA-PBE.

Computed properties:
Energy relative to the elements, uncorrected: 0.757 kcal/mol of atoms
Final energy: -14.74 eV per formula unit
Energy above the most stable polymorph in this dataset: 125 meV per atom

Cell and atoms, written as CIF:
```
data_NiPb2Br
_chemical_formula_sum 'Ni1 Pb2 Br1'
_space_group_name_H-M_alt 'P 1'
_space_group_IT_number 1
_cell_length_a 3.8042
_cell_length_b 3.7992
_cell_length_c 8.1796
_cell_angle_alpha 90.00
_cell_angle_beta 90.00
_cell_angle_gamma 90.00
loop_
_space_group_symop_operation_xyz
'x,y,z'
loop_
_atom_site_label
_atom_site_type_symbol
_atom_site_fract_x
_atom_site_fract_y
_atom_site_fract_z
Br1 Br 0.0000 0.0000 0.4472
Ni1 Ni 0.5000 0.5000 0.9314
Pb1 Pb 0.0000 0.0000 0.8753
Pb2 Pb 0.5000 0.5000 0.2461
```

***

Entry 4:
Here is Co2ReHg after structural relaxation from Alexandria via LeMat-Bulk. Energies are from GGA-PBE.

Computed properties:
Final energy: -25.61 eV per formula unit

Cell and atoms, written as CIF:
```
data_Co2ReHg
_chemical_formula_sum 'Co2 Re1 Hg1'
_space_group_name_H-M_alt 'P 1'
_space_group_IT_number 1
_cell_length_a 2.7530
_cell_length_b 3.5017
_cell_length_c 5.8708
_cell_angle_alpha 90.00
_cell_angle_beta 90.00
_cell_angle_gamma 90.00
loop_
_space_group_symop_operation_xyz
'x,y,z'
loop_
_atom_site_label
_atom_site_type_symbol
_atom_site_fract_x
_atom_site_fract_y
_atom_site_fract_z
Co1 Co 0.0000 0.0000 0.9580
Co2 Co 0.0000 0.0000 0.5420
Hg1 Hg 0.5000 0.5000 0.2500
Re1 Re 0.5000 0.5000 0.7500
```

***

Entry 5:
Here is Cd2PbCl8 after structural relaxation from Alexandria via LeMat-Bulk. Energies are from GGA-PBE.

Computed properties:
Energy relative to the elements, uncorrected: -15.584 kcal/mol of atoms
Final energy: -27.75 eV per formula unit

Cell and atoms, written as CIF:
```
data_Cd2PbCl8
_chemical_formula_sum 'Cd2 Pb1 Cl8'
_space_group_name_H-M_alt 'P 1'
_space_group_IT_number 1
_cell_length_a 7.0088
_cell_length_b 7.0088
_cell_length_c 8.0580
_cell_angle_alpha 115.78
_cell_angle_beta 115.78
_cell_angle_gamma 90.00
loop_
_space_group_symop_operation_xyz
'x,y,z'
loop_
_atom_site_label
_atom_site_type_symbol
_atom_site_fract_x
_atom_site_fract_y
_atom_site_fract_z
Cd1 Cd 0.7500 0.2500 0.5000
Cd2 Cd 0.2500 0.7500 0.5000
Pb1 Pb 0.5000 0.5000 0.0000
Cl1 Cl 0.8054 0.3183 0.2379
Cl2 Cl 0.0805 0.5676 0.7621
Cl3 Cl 0.6817 0.1946 0.7621
Cl4 Cl 0.1946 0.0805 0.7621
Cl5 Cl 0.4324 0.9195 0.2379
Cl6 Cl 0.9195 0.8054 0.2379
Cl7 Cl 0.3183 0.4324 0.2379
Cl8 Cl 0.5676 0.6817 0.7621
```

***

Entry 6:
Here is K3TbTm2Se6 after structural relaxation from Alexandria via LeMat-Bulk. Energies are from GGA-PBE.

Computed properties:
Energy relative to the elements, uncorrected: -40.505 kcal/mol of atoms
Final energy: -58.85 eV per formula unit

Cell and atoms, written as CIF:
```
data_K3TbTm2Se6
_chemical_formula_sum 'K3 Tb1 Tm2 Se6'
_space_group_name_H-M_alt 'P 1'
_space_group_IT_number 1
_cell_length_a 7.2499
_cell_length_b 7.2499
_cell_length_c 8.0480
_cell_angle_alpha 98.64
_cell_angle_beta 98.64
_cell_angle_gamma 120.00
loop_
_space_group_symop_operation_xyz
'x,y,z'
loop_
_atom_site_label
_atom_site_type_symbol
_atom_site_fract_x
_atom_site_fract_y
_atom_site_fract_z
K1 K 0.1660 0.8340 0.5000
K2 K 0.8340 0.1660 0.5000
K3 K 0.5000 0.5000 0.5000
Tb1 Tb 0.0000 0.0000 0.0000
Tm1 Tm 0.3332 0.6668 0.0000
Tm2 Tm 0.6668 0.3332 0.0000
Se1 Se 0.9320 0.5946 0.7962
Se2 Se 0.7305 0.7305 0.2037
Se3 Se 0.0680 0.4054 0.2038
Se4 Se 0.5946 0.9320 0.7962
Se5 Se 0.2695 0.2695 0.7963
Se6 Se 0.4054 0.0680 0.2038
```

***

Entry 7:
Here is Na3Dy2TiTe6 after structural relaxation from Alexandria via LeMat-Bulk. Energies are from GGA-PBE.

Computed properties:
Energy relative to the elements, uncorrected: -25.579 kcal/mol of atoms
Final energy: -53.22 eV per formula unit

Cell and atoms, written as CIF:
```
data_Na3Dy2TiTe6
_chemical_formula_sum 'Na3 Dy2 Ti1 Te6'
_space_group_name_H-M_alt 'P 1'
_space_group_IT_number 1
_cell_length_a 7.4757
_cell_length_b 7.4757
_cell_length_c 7.9710
_cell_angle_alpha 99.03
_cell_angle_beta 99.03
_cell_angle_gamma 120.03
loop_
_space_group_symop_operation_xyz
'x,y,z'
loop_
_atom_site_label
_atom_site_type_symbol
_atom_site_fract_x
_atom_site_fract_y
_atom_site_fract_z
Na1 Na 0.1729 0.8271 0.5000
Na2 Na 0.8271 0.1729 0.5000
Na3 Na 0.5000 0.5000 0.5000
Dy1 Dy 0.3338 0.6662 0.0000
Dy2 Dy 0.6662 0.3338 0.0000
Ti1 Ti 0.0000 0.0000 0.0000
Te1 Te 0.9249 0.6104 0.7748
Te2 Te 0.7624 0.7624 0.2249
Te3 Te 0.0751 0.3896 0.2252
Te4 Te 0.6104 0.9249 0.7748
Te5 Te 0.2376 0.2376 0.7751
Te6 Te 0.3896 0.0751 0.2252
```

***

Entry 8:
Here is YGa4Rh4 after structural relaxation from Alexandria via LeMat-Bulk. Energies are from GGA-PBE.

Computed properties:
Final energy: -53.13 eV per formula unit

Cell and atoms, written as CIF:
```
data_YGa4Rh4
_chemical_formula_sum 'Y2 Ga8 Rh8'
_space_group_name_H-M_alt 'P 1'
_space_group_IT_number 1
_cell_length_a 4.9152
_cell_length_b 8.1310
_cell_length_c 8.1310
_cell_angle_alpha 90.00
_cell_angle_beta 90.00
_cell_angle_gamma 90.00
loop_
_space_group_symop_operation_xyz
'x,y,z'
loop_
_atom_site_label
_atom_site_type_symbol
_atom_site_fract_x
_atom_site_fract_y
_atom_site_fract_z
Y1 Y 0.0000 0.0000 0.0000
Y2 Y 0.5000 0.5000 0.5000
Ga1 Ga 0.5809 0.8553 0.3045
Ga2 Ga 0.5809 0.1447 0.6955
Ga3 Ga 0.0809 0.8045 0.6447
Ga4 Ga 0.9191 0.3553 0.8045
Ga5 Ga 0.9191 0.6447 0.1955
Ga6 Ga 0.4191 0.3045 0.1447
Ga7 Ga 0.4191 0.6955 0.8553
Ga8 Ga 0.0809 0.1955 0.3553
Rh1 Rh 0.4063 0.3818 0.8540
Rh2 Rh 0.9063 0.6460 0.8818
Rh3 Rh 0.4063 0.6182 0.1460
Rh4 Rh 0.0937 0.1182 0.6460
Rh5 Rh 0.5937 0.8540 0.6182
Rh6 Rh 0.0937 0.8818 0.3540
Rh7 Rh 0.9063 0.3540 0.1182
Rh8 Rh 0.5937 0.1460 0.3818
```

***

Entry 9:
Here is ScCdRu2 after structural relaxation from Alexandria via LeMat-Bulk. Energies are from GGA-PBE.

Computed properties:
Final energy: -25.36 eV per formula unit

Cell and atoms, written as CIF:
```
data_ScCdRu2
_chemical_formula_sum 'Sc1 Cd1 Ru2'
_space_group_name_H-M_alt 'P 1'
_space_group_IT_number 1
_cell_length_a 8.9472
_cell_length_b 8.9472
_cell_length_c 8.9472
_cell_angle_alpha 19.22
_cell_angle_beta 19.22
_cell_angle_gamma 19.22
loop_
_space_group_symop_operation_xyz
'x,y,z'
loop_
_atom_site_label
_atom_site_type_symbol
_atom_site_fract_x
_atom_site_fract_y
_atom_site_fract_z
Cd1 Cd 0.7500 0.7500 0.7500
Ru1 Ru 0.9958 0.9958 0.9958
Ru2 Ru 0.5042 0.5042 0.5042
Sc1 Sc 0.2500 0.2500 0.2500
```

***

Entry 10:
Here is Ca2PSe after structural relaxation from Alexandria via LeMat-Bulk. Energies are from GGA-PBE.

Computed properties:
Energy relative to the elements, uncorrected: -28.089 kcal/mol of atoms
Final energy: -17.77 eV per formula unit
Energy above the most stable polymorph in this dataset: 126 meV per atom

Cell and atoms, written as CIF:
```
data_Ca2PSe
_chemical_formula_sum 'Ca2 P1 Se1'
_space_group_name_H-M_alt 'P 1'
_space_group_IT_number 1
_cell_length_a 6.0665
_cell_length_b 6.0665
_cell_length_c 4.5647
_cell_angle_alpha 88.74
_cell_angle_beta 88.74
_cell_angle_gamma 35.98
loop_
_space_group_symop_operation_xyz
'x,y,z'
loop_
_atom_site_label
_atom_site_type_symbol
_atom_site_fract_x
_atom_site_fract_y
_atom_site_fract_z
Ca1 Ca 0.9978 0.9978 0.1243
Ca2 Ca 0.7500 0.7500 0.6260
P1 P 0.4962 0.4962 0.6248
Se1 Se 0.2561 0.2561 0.1249
```

***

- What is the formula in the fourth record?
  Co2ReHg

***

- Number 10 is which compound?
  Ca2PSe

***

- final energy of number 1 (AgAsBr2)?
  -9.72 eV per formula unit